Material: La2TaRu
Method: DFT, GGA-PBE
State: optimized geometry

Unit cell a=3.414 b=4.915 c=5.281 alpha=90.00 beta=90.00 gamma=90.00
Positions (direct):
La (0.000, 0.000, 0.000)
La (0.500, 0.000, 0.500)
Ta (0.000, 0.500, 0.500)
Ru (0.500, 0.500, 0.000)

Computed properties:
DFT formation energy: 10.0 kcal/mol of atoms
Energy: -7.31 eV per atom
Total moment: 0.0000 μB per atom

=====

Material: LaTa2Ru
Method: DFT, GGA-PBE
State: optimized geometry

Unit cell a=9.713 b=9.713 c=9.713 alpha=18.64 beta=18.64 gamma=18.64
Positions (direct):
La (0.000, 0.000, 0.000)
Ta (0.234, 0.234, 0.234)
Ta (0.488, 0.488, 0.488)
Ru (0.756, 0.756, 0.756)

Computed properties:
DFT formation energy: 6.8 kcal/mol of atoms
Energy: -9.18 eV per atom
Total moment: 0.0002 μB per atom

=====

Material: LaTa2Ru
Method: DFT, GGA-PBE
State: optimized geometry

Unit cell a=5.713 b=5.713 c=5.713 alpha=147.62 beta=126.75 gamma=63.72
Positions (direct):
La (0.000, 0.000, 0.000)
Ta (0.462, 0.462, 0.000)
Ta (0.731, 0.231, 0.500)
Ru (0.250, 0.750, 0.500)

Computed properties:
DFT formation energy: 7.3 kcal/mol of atoms
Energy: -9.16 eV per atom
Total moment: 0.0000 μB per atom

=====

Material: La2TaRu
Method: DFT, GGA-PBE
State: optimized geometry

Unit cell a=6.509 b=6.509 c=6.509 alpha=102.12 beta=102.12 gamma=125.45
Positions (direct):
La (0.078, 0.625, 0.953)
La (0.375, 0.328, 0.453)
La (0.672, 0.125, 0.047)
La (0.875, 0.922, 0.547)
Ta (0.250, 0.750, 0.500)
Ta (0.500, 0.500, 0.000)
Ru (0.000, 0.000, 0.000)
Ru (0.750, 0.250, 0.500)

Computed properties:
DFT formation energy: 13.9 kcal/mol of atoms
Energy: -7.14 eV per atom
Total moment: 0.0000 μB per atom

=====

Material: La2TaRu
Method: DFT, GGA-PBE
State: optimized geometry

Unit cell a=3.297 b=3.295 c=9.188 alpha=90.00 beta=90.14 gamma=90.00
Positions (direct):
La (0.000, 0.000, 0.000)
La (0.493, 0.500, 0.370)
Ta (0.995, 0.000, 0.626)
Ru (0.497, 0.500, 0.769)

Computed properties:
DFT formation energy: -0.6 kcal/mol of atoms
Energy: -7.77 eV per atom
Total moment: 0.0000 μB per atom

=====

Material: LaTaRu3
Method: DFT, GGA-PBE
State: optimized geometry

Unit cell a=4.704 b=4.704 c=4.704 alpha=90.00 beta=90.00 gamma=90.00
Positions (direct):
La (0.000, 0.000, 0.000)
Ta (0.500, 0.500, 0.500)
Ru (0.000, 0.000, 0.500)
Ru (0.000, 0.500, 0.000)
Ru (0.500, 0.000, 0.000)

Computed properties:
DFT formation energy: 44.0 kcal/mol of atoms
Energy: -7.01 eV per atom
Total moment: 0.0000 μB per atom

=====

Material: La2TaRu
Method: DFT, GGA-PBE
State: optimized geometry

Unit cell a=5.147 b=5.147 c=5.147 alpha=60.00 beta=60.00 gamma=60.00
Positions (direct):
La (0.250, 0.250, 0.250)
La (0.750, 0.750, 0.750)
Ta (0.000, 0.000, 0.000)
Ru (0.500, 0.500, 0.500)

Computed properties:
DFT formation energy: 11.7 kcal/mol of atoms
Energy: -7.24 eV per atom
Total moment: 0.3907 μB per atom

=====

Material: LaTa3Ru
Method: DFT, GGA-PBE
State: optimized geometry

Unit cell a=4.912 b=4.912 c=4.912 alpha=90.00 beta=90.00 gamma=90.00
Positions (direct):
La (0.000, 0.000, 0.000)
Ta (0.000, 0.500, 0.500)
Ta (0.500, 0.000, 0.500)
Ta (0.500, 0.500, 0.000)
Ru (0.500, 0.500, 0.500)

Computed properties:
DFT formation energy: 16.6 kcal/mol of atoms
Energy: -9.23 eV per atom
Total moment: 0.0000 μB per atom

=====

Material: La2TaRu
Method: DFT, GGA-PBE
State: optimized geometry

Unit cell a=5.983 b=5.983 c=5.983 alpha=138.60 beta=138.60 gamma=59.99
Positions (direct):
La (0.000, 0.000, 0.000)
La (0.750, 0.250, 0.500)
Ta (0.500, 0.500, 0.000)
Ru (0.250, 0.750, 0.500)

Computed properties:
DFT formation energy: 10.8 kcal/mol of atoms
Energy: -7.28 eV per atom
Total moment: 0.0000 μB per atom

=====

Material: LaTa2Ru
Method: DFT, GGA-PBE
State: optimized geometry

Unit cell a=10.029 b=10.029 c=10.029 alpha=17.64 beta=17.64 gamma=17.64
Positions (direct):
La (0.000, 0.000, 0.000)
Ta (0.236, 0.236, 0.236)
Ta (0.764, 0.764, 0.764)
Ru (0.500, 0.500, 0.500)

Computed properties:
DFT formation energy: 9.1 kcal/mol of atoms
Energy: -9.08 eV per atom
Total moment: 0.0000 μB per atom

=====

Material: La2TaRu
Method: DFT, GGA-PBE
State: optimized geometry

Unit cell a=3.250 b=4.792 c=5.943 alpha=90.00 beta=100.49 gamma=90.00
Positions (direct):
La (0.202, 0.000, 0.261)
La (0.798, 0.000, 0.739)
Ta (0.500, 0.500, 0.000)
Ru (0.000, 0.500, 0.500)

Computed properties:
DFT formation energy: 10.4 kcal/mol of atoms
Energy: -7.30 eV per atom
Total moment: 0.0000 μB per atom

=====

Material: LaTa2Ru
Method: DFT, GGA-PBE
State: optimized geometry

Unit cell a=5.647 b=5.647 c=2.971 alpha=90.00 beta=90.00 gamma=122.73
Positions (direct):
La (0.000, 0.000, 0.000)
Ta (0.000, 0.500, 0.500)
Ta (0.500, 0.000, 0.500)
Ru (0.500, 0.500, 0.000)

Computed properties:
DFT formation energy: 12.0 kcal/mol of atoms
Energy: -8.96 eV per atom
Total moment: 0.0000 μB per atom

=====

Material: LaTaRu2
Method: DFT, GGA-PBE
State: optimized geometry

Unit cell a=3.219 b=4.605 c=5.432 alpha=90.00 beta=105.92 gamma=90.00
Positions (direct):
La (0.000, 0.000, 0.000)
Ta (0.259, 0.500, 0.540)
Ru (0.572, 0.500, 0.151)
Ru (0.729, 0.000, 0.493)

Computed properties:
DFT formation energy: 0.0 kcal/mol of atoms
Energy: -8.83 eV per atom
Total moment: 0.0000 μB per atom

=====

Material: LaTa2Ru
Method: DFT, GGA-PBE
State: optimized geometry

Unit cell a=5.345 b=5.345 c=5.646 alpha=107.22 beta=107.22 gamma=34.83
Positions (direct):
La (0.000, 0.000, 0.000)
Ta (0.206, 0.206, 0.658)
Ta (0.464, 0.464, 0.472)
Ru (0.752, 0.752, 0.335)

Computed properties:
DFT formation energy: 6.3 kcal/mol of atoms
Energy: -9.21 eV per atom
Total moment: 0.0000 μB per atom

=====

Material: La2TaRu
Method: DFT, GGA-PBE
State: optimized geometry

Unit cell a=5.763 b=5.763 c=3.242 alpha=102.69 beta=102.69 gamma=114.62
Positions (direct):
La (0.000, 0.500, 0.000)
La (0.500, 0.000, 0.000)
Ta (0.000, 0.000, 0.500)
Ru (0.500, 0.500, 0.500)

Computed properties:
DFT formation energy: 10.9 kcal/mol of atoms
Energy: -7.27 eV per atom
Total moment: 0.0000 μB per atom

=====

Material: LaTa2Ru
Method: DFT, GGA-PBE
State: optimized geometry

Unit cell a=5.881 b=5.881 c=5.881 alpha=140.56 beta=140.56 gamma=57.01
Positions (direct):
La (0.000, 0.000, 0.000)
Ta (0.250, 0.750, 0.500)
Ta (0.750, 0.250, 0.500)
Ru (0.500, 0.500, 0.000)

Computed properties:
DFT formation energy: 9.6 kcal/mol of atoms
Energy: -9.06 eV per atom
Total moment: 0.0000 μB per atom

=====

Material: La2TaRu
Method: DFT, GGA-PBE
State: optimized geometry

Unit cell a=6.008 b=6.008 c=6.008 alpha=139.69 beta=139.69 gamma=58.32
Positions (direct):
La (0.250, 0.750, 0.500)
La (0.750, 0.250, 0.500)
Ta (0.000, 0.000, 0.000)
Ru (0.500, 0.500, 0.000)

Computed properties:
DFT formation energy: 11.6 kcal/mol of atoms
Energy: -7.24 eV per atom
Total moment: 0.0000 μB per atom

=====

Material: LaTb5Ru4
Method: DFT, GGA-PBE
State: optimized geometry

Unit cell a=7.616 b=7.616 c=6.775 alpha=90.50 beta=90.50 gamma=37.72
Positions (direct):
La (0.000, 0.000, 0.000)
Tb (0.000, 0.000, 0.500)
Tb (0.332, 0.332, 0.482)
Tb (0.332, 0.332, 0.981)
Tb (0.668, 0.668, 0.019)
Tb (0.668, 0.668, 0.518)
Ru (0.163, 0.163, 0.758)
Ru (0.500, 0.500, 0.251)
Ru (0.500, 0.500, 0.749)
Ru (0.837, 0.837, 0.242)

Computed properties:
DFT formation energy: -5.4 kcal/mol of atoms
Energy: -6.75 eV per atom
Total moment: 0.0000 μB per atom

=====

Material: La2TbRu
Method: DFT, GGA-PBE
State: optimized geometry

Unit cell a=7.382 b=9.938 c=6.402 alpha=90.00 beta=90.00 gamma=90.00
Positions (direct):
La (0.174, 0.068, 0.171)
La (0.174, 0.432, 0.171)
La (0.326, 0.568, 0.671)
La (0.326, 0.932, 0.671)
La (0.674, 0.068, 0.329)
La (0.674, 0.432, 0.329)
La (0.826, 0.568, 0.829)
La (0.826, 0.932, 0.829)
Tb (0.045, 0.250, 0.652)
Tb (0.455, 0.750, 0.152)
Tb (0.545, 0.250, 0.848)
Tb (0.955, 0.750, 0.348)
Ru (0.114, 0.750, 0.942)
Ru (0.386, 0.250, 0.442)
Ru (0.614, 0.750, 0.558)
Ru (0.886, 0.250, 0.058)

Computed properties:
DFT formation energy: -5.6 kcal/mol of atoms
Energy: -6.18 eV per atom
Total moment: 0.0000 μB per atom

=====

Material: LaTbRu
Method: DFT, GGA-PBE
State: optimized geometry

Unit cell a=7.233 b=7.233 c=7.233 alpha=152.22 beta=152.22 gamma=39.69
Positions (direct):
La (0.000, 0.000, 0.000)
Tb (0.249, 0.249, 0.000)
Ru (0.631, 0.631, 0.000)

Computed properties:
DFT formation energy: -5.5 kcal/mol of atoms
Energy: -6.52 eV per atom
Total moment: 0.0000 μB per atom

=====

Material: LaTbRu4
Method: DFT, GGA-PBE
State: optimized geometry

Unit cell a=5.405 b=5.405 c=5.405 alpha=60.00 beta=60.00 gamma=60.00
Positions (direct):
La (0.000, 0.000, 0.000)
Tb (0.250, 0.250, 0.250)
Ru (0.126, 0.625, 0.625)
Ru (0.625, 0.126, 0.625)
Ru (0.625, 0.625, 0.126)
Ru (0.625, 0.625, 0.625)

Computed properties:
DFT formation energy: -4.3 kcal/mol of atoms
Energy: -7.96 eV per atom
Total moment: 0.0001 μB per atom

=====

Material: LaTb2Ru
Method: DFT, GGA-PBE
State: optimized geometry

Unit cell a=10.963 b=10.963 c=10.963 alpha=18.71 beta=18.71 gamma=18.71
Positions (direct):
La (0.000, 0.000, 0.000)
Tb (0.109, 0.109, 0.109)
Tb (0.891, 0.891, 0.891)
Ru (0.500, 0.500, 0.500)

Computed properties:
DFT formation energy: 1.8 kcal/mol of atoms
Energy: -5.79 eV per atom
Total moment: 0.0000 μB per atom

=====

Material: LaTbRu2
Method: DFT, GGA-PBE
State: optimized geometry

Unit cell a=3.481 b=3.481 c=6.952 alpha=90.00 beta=90.00 gamma=90.00
Positions (direct):
La (0.000, 0.000, 0.000)
Tb (0.000, 0.000, 0.500)
Ru (0.500, 0.500, 0.253)
Ru (0.500, 0.500, 0.747)

Computed properties:
DFT formation energy: -4.1 kcal/mol of atoms
Energy: -7.20 eV per atom
Total moment: 0.0000 μB per atom

=====

Material: La2TbRu
Method: DFT, GGA-PBE
State: optimized geometry

Unit cell a=6.439 b=6.439 c=9.582 alpha=90.00 beta=90.00 gamma=143.47
Positions (direct):
La (0.140, 0.860, 0.571)
La (0.140, 0.860, 0.929)
La (0.860, 0.140, 0.071)
La (0.860, 0.140, 0.429)
Tb (0.415, 0.585, 0.750)
Tb (0.585, 0.415, 0.250)
Ru (0.248, 0.752, 0.250)
Ru (0.752, 0.248, 0.750)

Computed properties:
DFT formation energy: -4.7 kcal/mol of atoms
Energy: -6.15 eV per atom
Total moment: 0.0000 μB per atom

=====

Material: La2TbRu
Method: DFT, GGA-PBE
State: optimized geometry

Unit cell a=10.681 b=10.681 c=10.681 alpha=20.71 beta=20.71 gamma=20.71
Positions (direct):
La (0.112, 0.112, 0.112)
La (0.888, 0.888, 0.888)
Tb (0.000, 0.000, 0.000)
Ru (0.500, 0.500, 0.500)

Computed properties:
DFT formation energy: 3.1 kcal/mol of atoms
Energy: -5.80 eV per atom
Total moment: 0.0005 μB per atom

=====

Material: LaTb2Ru2
Method: DFT, GGA-PBE
State: optimized geometry

Unit cell a=5.785 b=5.785 c=5.785 alpha=135.88 beta=115.61 gamma=81.36
Positions (direct):
La (0.000, 0.000, 0.000)
Tb (0.307, 0.807, 0.500)
Tb (0.693, 0.193, 0.500)
Ru (0.276, 0.500, 0.776)
Ru (0.724, 0.500, 0.224)

Computed properties:
DFT formation energy: -6.0 kcal/mol of atoms
Energy: -6.81 eV per atom
Total moment: 0.0000 μB per atom

=====

Material: LaTb2Ru
Method: DFT, GGA-PBE
State: optimized geometry

Unit cell a=3.920 b=9.438 c=6.444 alpha=90.00 beta=107.66 gamma=90.00
Positions (direct):
La (0.079, 0.250, 0.158)
La (0.921, 0.750, 0.842)
Tb (0.354, 0.072, 0.707)
Tb (0.354, 0.428, 0.707)
Tb (0.646, 0.572, 0.293)
Tb (0.646, 0.928, 0.293)
Ru (0.258, 0.750, 0.516)
Ru (0.742, 0.250, 0.484)

Computed properties:
DFT formation energy: -6.1 kcal/mol of atoms
Energy: -6.13 eV per atom
Total moment: 0.0000 μB per atom

=====

Material: LaTbRu
Method: DFT, GGA-PBE
State: optimized geometry

Unit cell a=4.892 b=4.892 c=4.892 alpha=60.00 beta=60.00 gamma=60.00
Positions (direct):
La (0.000, 0.000, 0.000)
Tb (0.500, 0.500, 0.500)
Ru (0.750, 0.750, 0.750)

Computed properties:
DFT formation energy: -5.1 kcal/mol of atoms
Energy: -6.50 eV per atom
Total moment: 0.0000 μB per atom

=====

Material: LaTb2Ru
Method: DFT, GGA-PBE
State: optimized geometry

Unit cell a=3.460 b=3.460 c=9.303 alpha=90.00 beta=90.00 gamma=90.00
Positions (direct):
La (0.000, 0.000, 0.000)
Tb (0.500, 0.500, 0.323)
Tb (0.500, 0.500, 0.677)
Ru (0.000, 0.000, 0.500)

Computed properties:
DFT formation energy: -4.7 kcal/mol of atoms
Energy: -6.07 eV per atom
Total moment: 0.0000 μB per atom